1.
Here is crystalline PrPdNO at its relaxed geometry from the Open Quantum Materials Database. Energies are from PBE.

Structure (POSCAR):
```
PrPdNO
1.0
4.3607 0.0000 0.0000
0.0000 4.4679 0.0000
0.0000 0.0000 7.3951
O Pd N Pr
2 2 2 2
Direct
0.5590 0.5000 0.8830
0.0590 0.5000 0.1170
0.5621 0.0000 0.6061
0.0621 0.0000 0.3939
0.0658 0.0000 0.6641
0.5658 0.0000 0.3359
0.5591 0.5000 0.2017
0.0591 0.5000 0.7983
```

## Properties
The calculation puts the size of the total moment at 0.000 μB per atom. The calculation puts the polymorph energy (0 for the lowest one) at 224 meV per atom. The symmetry is Pmc2_1.


2.
Here is crystalline LiGaAu2 at its relaxed geometry from the Open Quantum Materials Database. Energies are from PBE.

Structure (POSCAR):
```
LiGaAu2
1.0
-3.0820 3.0260 1.4041
-0.2606 -1.7287 -4.1917
-4.5640 -5.9112 2.7217
Au Li Ga
4 2 2
Direct
0.3333 0.6667 0.9197
0.6667 0.3333 0.0803
0.3333 0.6667 0.5803
0.6667 0.3333 0.4197
0.0000 0.0000 0.5000
0.0000 0.0000 0.0000
0.6667 0.3333 0.7500
0.3333 0.6667 0.2500
```

## Properties
As for the total DFT energy (no corrections): -25.85 eV for the cell shown. The symmetry is P6_3/mmc.


3.
Here is crystalline SrDyNb at its relaxed geometry from the Open Quantum Materials Database. Energies are from PBE.

Structure (POSCAR):
```
SrDyNb
1.0
0.0000 3.7961 3.7961
3.7961 0.0000 3.7961
3.7961 3.7961 0.0000
Sr Nb Dy
1 1 1
Direct
0.7500 0.7500 0.7500
0.0000 0.0000 0.0000
0.2500 0.2500 0.2500
```

## Properties
The calculation puts the size of the total moment at 1.296 μB per atom. The calculation puts the polymorph energy (0 for the lowest one) at 0 meV per atom. The symmetry is F-43m.


4.
Here is crystalline PaPtNO at its relaxed geometry from the Open Quantum Materials Database. Energies are from PBE.

Structure (POSCAR):
```
PaPtNO
1.0
3.8451 0.0000 0.0000
0.0000 7.1575 0.0000
0.0000 0.0000 4.7348
Pa Pt N O
2 2 2 2
Direct
0.0000 0.2307 0.4379
0.0000 0.7693 0.9379
0.5000 0.1052 0.9384
0.5000 0.8948 0.4384
0.0000 0.8171 0.4381
0.0000 0.1829 0.9381
0.5000 0.3772 0.4396
0.5000 0.6228 0.9396
```

## Properties
The calculation puts the size of the total moment at 0.000 μB per atom. The calculation puts the polymorph energy (0 for the lowest one) at 56 meV per atom. The symmetry is Pmc2_1.


5.
Here is crystalline YMg2Cd at its relaxed geometry from the Open Quantum Materials Database. Energies are from PBE.

Structure (POSCAR):
```
YMg2Cd
1.0
1.2558 -1.6394 4.6574
-3.3110 -2.7720 2.7036
0.8839 -4.9524 0.8050
Mg Y Cd
2 1 1
Direct
0.0000 0.0000 0.0000
0.2500 0.2500 0.2500
0.7500 0.7500 0.7500
0.5000 0.5000 0.5000
```

## Properties
The calculation puts the size of the total moment at 0.001 μB per atom. As for the total DFT energy (no corrections): -11.30 eV for the cell shown. The symmetry is F-43m.


6.
Here is crystalline PtF4 at its relaxed geometry from the Open Quantum Materials Database. Energies are from PBE.

Structure (POSCAR):
```
PtF4
1.0
-2.9393 3.4693 -2.2530
-3.9039 -2.1177 1.8321
1.7790 0.8911 4.8209
F Pt
8 2
Direct
0.1307 0.8085 0.9104
0.6553 0.6588 0.9002
0.6553 0.8412 0.4002
0.3447 0.1588 0.5998
0.1307 0.6915 0.4104
0.3447 0.3412 0.0998
0.8693 0.1915 0.0896
0.8693 0.3085 0.5896
0.5000 0.5000 0.5000
0.5000 0.0000 0.0000
```

## Properties
The calculation puts the size of the total moment at 0.000 μB per atom. The calculation puts the polymorph energy (0 for the lowest one) at 31 meV per atom. The symmetry is P2_1/c.


7.
Here is crystalline LuAlNiHg at its relaxed geometry from the Open Quantum Materials Database. Energies are from PBE.

Structure (POSCAR):
```
LuAlNiHg
1.0
0.0000 3.3088 3.3088
3.3088 0.0000 3.3088
3.3088 3.3088 0.0000
Lu Al Ni Hg
1 1 1 1
Direct
0.5000 0.5000 0.5000
0.0000 0.0000 0.0000
0.7500 0.7500 0.7500
0.2500 0.2500 0.2500
```

## Properties
The calculation puts the size of the total moment at 0.001 μB per atom. The calculation puts the polymorph energy (0 for the lowest one) at 0 meV per atom. The symmetry is F-43m.


8.
Here is crystalline Na5NpS5 at its relaxed geometry from the Open Quantum Materials Database. Energies are from PBE.

Structure (POSCAR):
```
Na5NpS5
1.0
6.5965 -2.7231 0.0000
6.5965 2.7231 0.0000
-2.4804 0.0000 7.4764
S Na Np
5 5 1
Direct
0.8595 0.8595 0.1676
0.8486 0.8486 0.6911
0.5000 0.5000 0.0000
0.1405 0.1405 0.8324
0.1514 0.1514 0.3089
0.0000 0.0000 0.5000
0.6822 0.6822 0.8613
0.3178 0.3178 0.1387
0.3066 0.3066 0.6769
0.6934 0.6934 0.3231
0.0000 0.0000 0.0000
```

## Properties
The calculation puts the size of the total moment at 0.182 μB per atom. As for the total DFT energy (no corrections): -52.97 eV for the cell shown. The symmetry is C2/m.


9.
Here is crystalline NaZrSi at its relaxed geometry from the Open Quantum Materials Database. Energies are from PBE.

Structure (POSCAR):
```
NaZrSi
1.0
0.0000 3.2281 3.2281
3.2281 0.0000 3.2281
3.2281 3.2281 0.0000
Zr Si Na
1 1 1
Direct
0.7500 0.7500 0.7500
0.0000 0.0000 0.0000
0.2500 0.2500 0.2500
```

## Properties
The calculation puts the size of the total moment at 0.001 μB per atom. The calculation puts the polymorph energy (0 for the lowest one) at 0 meV per atom. The symmetry is F-43m.


10.
Here is crystalline Dy2YIn3AgIr2 at its relaxed geometry from the Open Quantum Materials Database. Energies are from PBE.

Structure (POSCAR):
```
Dy2YIn3AgIr2
1.0
-0.2331 2.5217 2.9017
5.1190 -4.1415 4.0104
2.4120 5.6220 -4.6920
In Ir Dy Y Ag
3 2 2 1 1
Direct
0.5000 0.0000 0.7320
0.5000 0.2680 0.2680
0.5000 0.7320 0.0000
0.5000 0.3331 0.6668
0.5000 0.6668 0.3331
0.0000 0.0000 0.4129
0.0000 0.4129 0.0000
0.0000 0.5873 0.5873
0.0000 0.0000 0.0000
```

## Properties
The calculation puts the size of the total moment at 0.001 μB per atom. As for the total DFT energy (no corrections): -49.93 eV for the cell shown. The symmetry is Amm2.


11.
Here is crystalline FeNiBPt at its relaxed geometry from the Open Quantum Materials Database. Energies are from PBE.

Structure (POSCAR):
```
FeNiBPt
1.0
0.0000 2.8102 2.8102
2.8102 0.0000 2.8102
2.8102 2.8102 0.0000
Fe B Pt Ni
1 1 1 1
Direct
0.7500 0.7500 0.7500
0.0000 0.0000 0.0000
0.2500 0.2500 0.2500
0.5000 0.5000 0.5000
```

## Properties
The calculation puts the size of the total moment at 0.669 μB per atom. The calculation puts the polymorph energy (0 for the lowest one) at 0 meV per atom. The symmetry is F-43m.


12.
Here is crystalline HfZrAs at its relaxed geometry from the Open Quantum Materials Database. Energies are from PBE.

Structure (POSCAR):
```
HfZrAs
1.0
0.0000 3.1840 3.1840
3.1840 0.0000 3.1840
3.1840 3.1840 0.0000
Hf As Zr
1 1 1
Direct
0.2500 0.2500 0.2500
0.0000 0.0000 0.0000
0.7500 0.7500 0.7500
```

## Properties
The calculation puts the size of the total moment at 0.004 μB per atom. As for the total DFT energy (no corrections): -24.52 eV for the cell shown. The symmetry is F-43m.


13.
Here is crystalline Ho2Al15Pt6 at its relaxed geometry from the Open Quantum Materials Database. Energies are from PBE.

Structure (POSCAR):
```
Ho2Al15Pt6
1.0
7.4443 0.0000 0.0000
0.0000 16.5175 0.0000
-3.7230 0.0000 6.4484
Al Ho Pt
30 4 12
Direct
0.3341 0.5460 0.8342
0.0000 0.3635 0.5051
0.7959 0.2500 0.6281
0.7955 0.7500 0.1676
0.3342 0.4540 0.5001
0.6658 0.9540 0.4999
0.3259 0.8637 0.1670
0.0000 0.1365 0.5051
0.6658 0.5460 0.4999
0.0002 0.9528 0.1682
0.9998 0.0472 0.8318
0.6659 0.0460 0.1658
0.3342 0.0460 0.5001
0.3341 0.9540 0.8342
0.9998 0.4528 0.8318
0.0001 0.2500 0.0381
0.6741 0.3637 0.8330
0.6741 0.6362 0.8412
0.6741 0.8638 0.8412
0.3259 0.3638 0.1588
0.0000 0.8635 0.4949
0.0000 0.6365 0.4949
0.9999 0.7500 0.9619
0.3259 0.1362 0.1588
0.6741 0.1363 0.8330
0.6659 0.4540 0.1658
0.2041 0.7500 0.3719
0.0002 0.5472 0.1682
0.2045 0.2500 0.8324
0.3259 0.6363 0.1670
0.6659 0.7500 0.5004
0.3341 0.2500 0.4996
0.3340 0.7500 0.8342
0.6660 0.2500 0.1658
0.0000 0.6080 0.8254
0.6576 0.1090 0.4900
0.3424 0.8910 0.5100
0.6576 0.3910 0.4900
0.3424 0.3910 0.8324
0.0000 0.1080 0.1746
0.0000 0.8920 0.8254
0.6576 0.8910 0.1676
0.3424 0.6090 0.5100
0.6576 0.6090 0.1676
0.3424 0.1090 0.8324
0.0000 0.3920 0.1746
```

## Properties
The calculation puts the size of the total moment at 0.000 μB per atom. As for the total DFT energy (no corrections): -245.55 eV for the cell shown. The symmetry is Cmcm.